# GGA+U MnSe2F2, relaxed
# * M_tot: 0.90 μB/atom
# * DOS(E_F): 3.1 states/eV/f.u.
# * calculated density: 5.25 g/cm³
# * raw total energy: -3.955 eV/atom
data_MnSe2F2
_chemical_formula_sum 'Mn2 Se4 F4'
_cell_length_a 7.389
_cell_length_b 7.389
_cell_length_c 2.909
_cell_angle_alpha 90.00
_cell_angle_beta 90.00
_cell_angle_gamma 90.00
_symmetry_space_group_name_H-M 'P 4/m b m'
_symmetry_Int_Tables_number 127
_symmetry_space_group_name_Hall '-P 4 2ab'
loop_
_atom_site_label
_atom_site_type_symbol
_atom_site_fract_x
_atom_site_fract_y
_atom_site_fract_z
Mn1 Mn 0.000 0.000 0.000
Se1 Se 0.187 0.313 0.500
F1 F 0.133 0.633 0.000